Record 1
{
  "formula": "KTcPb2",
  "functional": "PBE",
  "state": "optimized geometry",
  "lattice": [[8.8705, 0.0000, 0.0000], [0.0000, 3.4675, 0.0000], [-3.6602, 0.0000, 7.6215]],
  "species": ["K", "K", "Tc", "Tc", "Pb", "Pb", "Pb", "Pb"],
  "frac_coords": [[0.0000, 0.0000, 0.0000], [0.5000, 0.5000, 0.0000], [0.2738, 0.5000, 0.4930], [0.7738, 0.0000, 0.4930], [0.1395, 0.0000, 0.6676], [0.4080, 0.0000, 0.3208], [0.6395, 0.5000, 0.6676], [0.9080, 0.5000, 0.3208]],
  "e_form_ev_per_atom": 0.437,
  "n_ef_per_ev_cell": 6.7,
  "de_polymorph_mev_per_atom": 187
}


Record 2
{
  "formula": "LaCrHg2",
  "functional": "PBE",
  "state": "optimized geometry",
  "lattice": [[4.3998, 0.0000, 0.0000], [0.0000, 4.3998, 0.0000], [0.0000, 0.0000, 20.8234]],
  "species": ["La", "La", "La", "La", "Cr", "Cr", "Cr", "Cr", "Hg", "Hg", "Hg", "Hg", "Hg", "Hg", "Hg", "Hg"],
  "frac_coords": [[0.0000, 0.0000, 0.0000], [0.0000, 0.5000, 0.2500], [0.5000, 0.0000, 0.7500], [0.5000, 0.5000, 0.5000], [0.0000, 0.0000, 0.5000], [0.0000, 0.5000, 0.7500], [0.5000, 0.0000, 0.2500], [0.5000, 0.5000, 0.0000], [0.1993, 0.2500, 0.6250], [0.2500, 0.6993, 0.8750], [0.2500, 0.8007, 0.3750], [0.3007, 0.2500, 0.1250], [0.6993, 0.7500, 0.1250], [0.7500, 0.1993, 0.3750], [0.7500, 0.3007, 0.8750], [0.8007, 0.7500, 0.6250]],
  "e_form_ev_per_atom": 0.602,
  "n_ef_per_ev_cell": 26.1
}


Record 3
{
  "formula": "BTeIr2",
  "functional": "PBE",
  "state": "optimized geometry",
  "lattice": [[5.1170, 0.0000, 0.0000], [0.0000, 5.1170, 0.0000], [0.0000, 0.0000, 11.1331]],
  "species": ["B", "B", "B", "B", "Te", "Te", "Te", "Te", "Ir", "Ir", "Ir", "Ir", "Ir", "Ir", "Ir", "Ir"],
  "frac_coords": [[0.0000, 0.0000, 0.0000], [0.0000, 0.5000, 0.2500], [0.5000, 0.0000, 0.7500], [0.5000, 0.5000, 0.5000], [0.0000, 0.0000, 0.5000], [0.0000, 0.5000, 0.7500], [0.5000, 0.0000, 0.2500], [0.5000, 0.5000, 0.0000], [0.1578, 0.2500, 0.1250], [0.2500, 0.6578, 0.3750], [0.2500, 0.8422, 0.8750], [0.3422, 0.2500, 0.6250], [0.6578, 0.7500, 0.6250], [0.7500, 0.1578, 0.8750], [0.7500, 0.3422, 0.3750], [0.8422, 0.7500, 0.1250]],
  "formation_energy_uncorrected_ev_per_fu": 0.5,
  "n_ef_per_ev_cell": 4.3,
  "de_polymorph_mev_per_atom": 0
}


Record 4
{
  "formula": "Ba12TlSi5",
  "functional": "PBE",
  "state": "optimized geometry",
  "lattice": [[-5.5070, 5.7754, 5.9122], [5.5070, -5.7754, 5.9122], [5.5070, 5.7754, -5.9122]],
  "species": ["Ba", "Ba", "Ba", "Ba", "Ba", "Ba", "Ba", "Ba", "Ba", "Ba", "Ba", "Ba", "Tl", "Si", "Si", "Si", "Si", "Si"],
  "frac_coords": [[0.0147, 0.2170, 0.7977], [0.1759, 0.2778, 0.4537], [0.1759, 0.7222, 0.8982], [0.3198, 0.0183, 0.6984], [0.3198, 0.6214, 0.3016], [0.4193, 0.2170, 0.2023], [0.5807, 0.7830, 0.7977], [0.6802, 0.3786, 0.6984], [0.6802, 0.9817, 0.3016], [0.8241, 0.2778, 0.1018], [0.8241, 0.7222, 0.5463], [0.9853, 0.7830, 0.2023], [0.5000, 0.5000, 0.0000], [0.0000, 0.0000, 0.0000], [0.1025, 0.6025, 0.5000], [0.3920, 0.0000, 0.3920], [0.6080, 0.0000, 0.6080], [0.8975, 0.3975, 0.5000]],
  "formation_energy_uncorrected_ev_per_fu": -4.7,
  "n_ef_per_ev_cell": 20.2
}


Number 1: electronic total energy -0.3148 Ry/atom. Number 2: electronic total energy -0.2342 Ry/atom. Number 3: electronic total energy -0.4976 Ry/atom. Number 4: electronic total energy -0.2337 Ry/atom.